## CeMg2 (PBE)

Data for CeMg2 after structural relaxation.

Calculated values
**Energy**: -2.95 eV/atom
**Theoretical density**: 4.0 Mg/m³

Lattice parameters (Å, degrees): 3.091 6.588 8.544 112.53 100.42 90.00
Each line ends with the local moment (μB).
Element x y z (fractional)
Ce  0.181  0.179  0.361  1.13
Ce  0.819  0.821  0.639  1.13
Mg  0.500  0.224  0.000  0.00
Mg  0.874  0.374  0.747  0.00
Mg  0.126  0.626  0.253  0.00
Mg  0.500  0.776  0.000  0.00

---

## Ce3Mg (PBE)

Data for Ce3Mg after structural relaxation.

Calculated values
**Energy**: -4.77 eV/atom
**Theoretical density**: 7.2 Mg/m³

Lattice parameters (Å, degrees): 6.426 6.426 6.426 151.19 125.96 62.39
Element x y z (fractional)
Mg  0.629  0.000  0.629
Ce  0.124  0.500  0.624
Ce  0.277  0.237  0.041
Ce  0.804  0.764  0.041

---

## Ce2Mg (PBE)

Data for Ce2Mg after structural relaxation.

Calculated values
**Energy**: -4.42 eV/atom
**Theoretical density**: 6.7 Mg/m³
**Polymorph energy (0 for the lowest one)**: 0.052 eV/atom

Lattice parameters (Å, degrees): 6.047 6.047 5.216 90.00 90.00 127.38
Element x y z (fractional)
Ce  0.352  0.974  0.250
Ce  0.974  0.352  0.250
Ce  0.026  0.648  0.750
Ce  0.648  0.026  0.750
Mg  0.672  0.672  0.250
Mg  0.328  0.328  0.750

---

## Ce2Mg17 (PBE)

Data for Ce2Mg17 after structural relaxation.

Calculated values
**Energy**: -2.06 eV/atom
**Theoretical density**: 2.5 Mg/m³

Lattice parameters (Å, degrees): 10.295 10.295 10.114 90.00 90.00 120.00
Each line ends with the local moment (μB).
Element x y z (fractional)
Mg  0.500  0.000  0.500  0.00
Mg  0.500  0.500  0.500  0.00
Mg  0.838  0.162  0.478  0.00
Mg  0.325  0.162  0.022  0.00
Mg  0.162  0.325  0.522  0.00
Mg  0.671  0.637  0.750  0.00
Mg  0.667  0.333  0.901  0.00
Mg  0.333  0.667  0.401  0.00
Mg  0.675  0.838  0.978  0.00
Mg  0.363  0.329  0.750  0.00
Mg  0.034  0.363  0.250  0.00
Mg  0.838  0.162  0.022  0.00
Mg  0.637  0.966  0.250  0.00
Mg  0.966  0.637  0.750  0.00
Mg  0.325  0.162  0.478  0.00
Mg  0.838  0.675  0.478  0.00
Mg  0.162  0.325  0.978  0.00
Mg  0.838  0.675  0.022  0.00
Mg  0.667  0.333  0.599  0.00
Mg  0.675  0.838  0.522  0.00
Mg  0.000  0.500  0.000  0.00
Mg  0.329  0.966  0.250  0.00
Mg  0.329  0.363  0.250  0.00
Mg  0.333  0.667  0.099  0.00
Mg  0.162  0.838  0.522  0.00
Mg  0.034  0.671  0.250  0.00
Mg  0.671  0.034  0.750  0.00
Mg  0.162  0.838  0.978  0.00
Mg  0.637  0.671  0.250  0.00
Mg  0.500  0.500  0.000  0.00
Mg  0.966  0.329  0.750  0.00
Mg  0.363  0.034  0.750  0.00
Mg  0.000  0.500  0.500  0.00
Mg  0.500  0.000  0.000  0.00
Ce  0.000  0.000  0.250  1.01
Ce  0.000  0.000  0.750  1.01
Ce  0.667  0.333  0.250  0.98
Ce  0.333  0.667  0.750  0.98

---

## Ce2Mg (PBE)

Data for Ce2Mg after structural relaxation.

Calculated values
**Energy**: -4.45 eV/atom
**Theoretical density**: 6.7 Mg/m³
**Polymorph energy (0 for the lowest one)**: 0.020 eV/atom

Lattice parameters (Å, degrees): 8.248 8.248 8.248 158.44 158.44 30.68
Element x y z (fractional)
Mg  0.000  0.000  0.000
Ce  0.669  0.669  0.000
Ce  0.331  0.331  0.000

---

## CeMg2 (PBE)

Data for CeMg2 after structural relaxation.

Calculated values
**Energy**: -3.04 eV/atom
**Theoretical density**: 4.3 Mg/m³

Lattice parameters (Å, degrees): 3.131 3.131 17.130 90.00 90.00 120.00
Each line ends with the local moment (μB).
Element x y z (fractional)
Ce  0.000  0.000  0.175  0.12
Ce  0.000  0.000  0.825  0.12
Mg  0.000  0.000  0.500  0.00
Mg  0.667  0.333  0.346  0.00
Mg  0.667  0.333  0.000  0.00
Mg  0.667  0.333  0.654  0.00

---

## Ce3Mg (PBE)

Data for Ce3Mg after structural relaxation.

Calculated values
**Energy**: -4.76 eV/atom
**Theoretical density**: 6.8 Mg/m³

Lattice parameters (Å, degrees): 5.861 5.861 5.861 132.30 132.30 69.76
Each line ends with the local moment (μB).
Element x y z (fractional)
Mg  0.000  0.000  0.000  0.00
Ce  0.500  0.500  0.000  0.63
Ce  0.250  0.750  0.500  0.64
Ce  0.750  0.250  0.500  0.64

---

## Ce5Mg (PBE)

Data for Ce5Mg after structural relaxation.

Calculated values
**Energy**: -5.12 eV/atom
**Theoretical density**: 7.5 Mg/m³
**Polymorph energy (0 for the lowest one)**: 0.060 eV/atom

Lattice parameters (Å, degrees): 6.390 6.390 6.390 54.52 54.52 54.52
Each line ends with the local moment (μB).
Element x y z (fractional)
Ce  0.704  0.000  0.296  0.32
Ce  0.183  0.183  0.183  0.38
Ce  0.000  0.296  0.704  0.32
Ce  0.296  0.704  0.000  0.32
Ce  0.817  0.817  0.817  0.38
Mg  0.500  0.500  0.500  0.00

---

## Ce3Mg (PBE)

Data for Ce3Mg after structural relaxation.

Calculated values
**Energy**: -4.67 eV/atom
**Theoretical density**: 6.6 Mg/m³

Lattice parameters (Å, degrees): 5.400 5.400 5.400 60.00 60.00 60.00
Each line ends with the local moment (μB).
Element x y z (fractional)
Ce  0.000  0.000  0.000  1.23
Ce  0.250  0.250  0.250  1.10
Ce  0.750  0.750  0.750  1.10
Mg  0.500  0.500  0.500  -0.01

---

## Ce2Mg (PBE)

Data for Ce2Mg after structural relaxation.

Calculated values
**Energy**: -4.44 eV/atom
**Theoretical density**: 6.7 Mg/m³
**Polymorph energy (0 for the lowest one)**: 0.025 eV/atom

Lattice parameters (Å, degrees): 6.172 6.172 8.685 68.41 68.41 29.57
Element x y z (fractional)
Ce  0.946  0.946  0.066
Ce  0.306  0.306  0.388
Ce  0.666  0.666  0.711
Ce  0.305  0.305  0.889
Mg  0.623  0.623  0.231
Mg  0.987  0.987  0.548

---

## CeMg2 (PBE)

Data for CeMg2 after structural relaxation.

Calculated values
**Energy**: -3.04 eV/atom
**Theoretical density**: 4.2 Mg/m³

Lattice parameters (Å, degrees): 6.767 6.767 7.406 77.56 77.56 27.05
Each line ends with the local moment (μB).
Element x y z (fractional)
Ce  0.514  0.514  0.674  0.65
Ce  0.486  0.486  0.326  0.65
Mg  0.792  0.792  0.646  0.00
Mg  0.148  0.148  0.967  0.00
Mg  0.852  0.852  0.033  0.00
Mg  0.208  0.208  0.354  0.00

---

## CeMg2 (PBE)

Data for CeMg2 after structural relaxation.

Calculated values
**Energy**: -3.05 eV/atom
**Theoretical density**: 4.3 Mg/m³

Lattice parameters (Å, degrees): 3.132 3.132 17.092 90.00 90.00 120.00
Element x y z (fractional)
Ce  0.333  0.667  0.750
Ce  0.667  0.333  0.250
Mg  0.667  0.333  0.923
Mg  0.667  0.333  0.577
Mg  0.333  0.667  0.423
Mg  0.333  0.667  0.077

---

The records above yield DFT formation energy values of 0.092; 0.077; 0.070; -0.010; 0.037; -0.001; 0.091; 0.092; 0.178; 0.042; -0.004; -0.008 eV per atom, respectively.